# PtSeI

Crystalline PtSeI at its relaxed geometry (PBE, Alexandria).

Lattice parameters (Å, degrees): 3.9408 3.9408 5.6034 90.00 90.00 120.00
Space group P3m1 (No. 156)
Inequivalent atoms, fractional coordinates:
Pt  0.0000  0.0000  0.0000 x1
Se  0.6667  0.3333  0.2162 x1
I  0.3333  0.6667  0.7085 x1

Calculated values
The uncorrected formation energy is -0.093 eV/atom. The total energy comes out at -3.785 eV per atom.

---

# Tm2Al3Ga

Crystalline Tm2Al3Ga at its relaxed geometry (PBE, Alexandria).

Lattice parameters (Å, degrees): 3.4010 4.5327 7.7902 90.00 90.00 90.00
Space group Pmm2 (No. 25)
Inequivalent atoms, fractional coordinates:
Tm  0.0000  0.0000  0.0000 x1
Tm  0.0000  0.5000  0.4969 x1
Al  0.5000  0.0000  0.6644 x1
Al  0.5000  0.5000  0.1661 x1
Al  0.5000  0.5000  0.8303 x1
Ga  0.5000  0.0000  0.3322 x1

Calculated values
The energy above the most stable polymorph in this dataset comes out at 0.0 meV per atom. The total energy comes out at -4.375 eV per atom. Its formation energy is -0.5090 eV per atom.